Entry 1:
First-principles (GGA-PBE) data for an optimized crystal structure of Ba8InSn2, as listed in Alexandria.

The structure in CIF format:
```
data_Ba8InSn2
_chemical_formula_sum 'Ba16 In2 Sn4'
_symmetry_space_group_name_H-M 'C 1 2/m 1'
_symmetry_Int_Tables_number 12
_cell_length_a 21.766
_cell_length_b 5.986
_cell_length_c 8.299
_cell_angle_alpha 90.00
_cell_angle_beta 106.14
_cell_angle_gamma 90.00
loop_
_symmetry_equiv_pos_as_xyz
'x,y,z'
'-x,-y,-z'
'-x,y,-z'
'x,-y,z'
'x+1/2,y+1/2,z'
'-x+1/2,-y+1/2,-z'
'-x+1/2,y+1/2,-z'
'x+1/2,-y+1/2,z'
loop_
_atom_site_label
_atom_site_fract_x
_atom_site_fract_y
_atom_site_fract_z
_atom_site_occupancy
Ba1 0.031 0.000 0.289 1
Ba2 0.094 0.500 0.945 1
Ba3 0.163 0.500 0.454 1
Ba4 0.206 0.000 0.807 1
In1 0.000 0.500 0.500 1
Sn1 0.190 0.000 0.215 1
```

Summary:
Energy relative to the lowest polymorph listed for this composition, meV/atom: 0
E_form, eV/atom: -0.374
N(E_F), states/eV per atom: 0.9191

---

Entry 2:
First-principles (GGA-PBE) data for an optimized crystal structure of BaNa3Hg2, as listed in Alexandria.

The structure in CIF format:
```
data_BaNa3Hg2
_chemical_formula_sum 'Ba4 Na12 Hg8'
_symmetry_space_group_name_H-M 'C 1 2/m 1'
_symmetry_Int_Tables_number 12
_cell_length_a 18.452
_cell_length_b 5.023
_cell_length_c 9.763
_cell_angle_alpha 90.00
_cell_angle_beta 117.01
_cell_angle_gamma 90.00
loop_
_symmetry_equiv_pos_as_xyz
'x,y,z'
'-x,-y,-z'
'-x,y,-z'
'x,-y,z'
'x+1/2,y+1/2,z'
'-x+1/2,-y+1/2,-z'
'-x+1/2,y+1/2,-z'
'x+1/2,-y+1/2,z'
loop_
_atom_site_label
_atom_site_fract_x
_atom_site_fract_y
_atom_site_fract_z
_atom_site_occupancy
Ba1 0.141 0.000 0.059 1
Na1 0.052 0.000 0.386 1
Na2 0.098 0.500 0.700 1
Na3 0.191 0.500 0.469 1
Hg1 0.028 0.500 0.169 1
Hg2 0.210 0.000 0.734 1
```

Summary:
Energy relative to the lowest polymorph listed for this composition, meV/atom: 0
E_form, eV/atom: -0.253
N(E_F), states/eV per atom: 0.5884

---

Entry 3:
First-principles (GGA-PBE) data for an optimized crystal structure of Sm5BiP6, as listed in Alexandria.

The structure in CIF format:
```
data_Sm5BiP6
_chemical_formula_sum 'Sm10 Bi2 P12'
_symmetry_space_group_name_H-M 'C 1 2/m 1'
_symmetry_Int_Tables_number 12
_cell_length_a 7.143
_cell_length_b 12.374
_cell_length_c 7.137
_cell_angle_alpha 90.00
_cell_angle_beta 109.47
_cell_angle_gamma 90.00
loop_
_symmetry_equiv_pos_as_xyz
'x,y,z'
'-x,-y,-z'
'-x,y,-z'
'x,-y,z'
'x+1/2,y+1/2,z'
'-x+1/2,-y+1/2,-z'
'-x+1/2,y+1/2,-z'
'x+1/2,-y+1/2,z'
loop_
_atom_site_label
_atom_site_fract_x
_atom_site_fract_y
_atom_site_fract_z
_atom_site_occupancy
Sm1 0.000 0.000 0.000 1
Sm2 0.000 0.167 0.500 1
Sm3 0.000 0.334 0.000 1
Bi1 0.000 0.500 0.500 1
P1 0.247 0.000 0.754 1
P2 0.247 0.169 0.249 1
```

Summary:
E_form, eV/atom: -1.248
N(E_F), states/eV per atom: 0.0731

---

no.,density (g/cm3)
1,4.6
2,5.0
3,6.4